1.
Entry from the Alexandria database: an optimized crystal structure of HoTm2Al9 (PBE).

a b c (Å): 4.2304 4.2304 12.6907
angles (deg): 90.00 90.00 90.00
Closest atoms and distances in Å follow each position.
Fractional positions:
Ho 0.0000 0.0000 0.0000  12 Al 2.99-3.00
Tm 0.0000 0.0000 0.3339  12 Al 2.99
Tm 0.0000 0.0000 0.6661  12 Al 2.99
Al 0.5000 0.5000 0.0000  4 Ho 2.99, 8 Al 3.00
Al 0.5000 0.5000 0.3336  8 Al 2.98-2.99, 4 Tm 2.99
Al 0.5000 0.5000 0.6664  8 Al 2.98-2.99, 4 Tm 2.99
Al 0.5000 0.0000 0.1678  8 Al 2.98-3.00, 2 Tm 2.99, 2 Ho 3.00
Al 0.5000 0.0000 0.5000  4 Tm 2.99, 8 Al 2.99
Al 0.5000 0.0000 0.8322  8 Al 2.98-3.00, 2 Tm 2.99, 2 Ho 3.00
Al 0.0000 0.5000 0.1678  8 Al 2.98-3.00, 2 Tm 2.99, 2 Ho 3.00
Al 0.0000 0.5000 0.5000  4 Tm 2.99, 8 Al 2.99
Al 0.0000 0.5000 0.8322  8 Al 2.98-3.00, 2 Tm 2.99, 2 Ho 3.00

The calculation puts the formation energy at -0.41 eV per atom. For the total energy, the calculation gives -52.16 eV/f.u.

---

2.
Entry from the Alexandria database: an optimized crystal structure of Ho12Tm7Al (PBE).

a b c (Å): 8.5296 8.5296 8.5296
angles (deg): 88.25 88.25 88.25
Closest atoms and distances in Å follow each position.
Fractional positions:
Ho 0.8681 0.2518 0.7470  1 Al 3.20, 5 Ho 3.23-3.42, 3 Tm 3.53-3.59
Ho 0.7482 0.2530 0.1319  1 Al 3.20, 5 Ho 3.23-3.42, 3 Tm 3.53-3.59
Ho 0.6156 0.1430 0.5003  2 Tm 3.17-3.45, 4 Ho 3.18-3.42
Ho 0.8570 0.4997 0.3844  2 Tm 3.17-3.45, 4 Ho 3.18-3.42
Ho 0.2530 0.1319 0.7482  1 Al 3.20, 5 Ho 3.23-3.42, 3 Tm 3.53-3.59
Ho 0.4997 0.3844 0.8570  2 Tm 3.17-3.45, 4 Ho 3.18-3.42
Ho 0.5003 0.6156 0.1430  2 Tm 3.17-3.45, 4 Ho 3.18-3.42
Ho 0.7470 0.8681 0.2518  1 Al 3.20, 5 Ho 3.23-3.42, 3 Tm 3.53-3.59
Ho 0.1430 0.5003 0.6156  2 Tm 3.17-3.45, 4 Ho 3.18-3.42
Ho 0.3844 0.8570 0.4997  2 Tm 3.17-3.45, 4 Ho 3.18-3.42
Ho 0.2518 0.7470 0.8681  1 Al 3.20, 5 Ho 3.23-3.42, 3 Tm 3.53-3.59
Ho 0.1319 0.7482 0.2530  1 Al 3.20, 5 Ho 3.23-3.42, 3 Tm 3.53-3.59
Tm 0.8546 0.6142 0.9365  3 Tm 3.29-3.45, 5 Ho 3.45-3.63, 1 Al 3.61
Tm 0.3858 0.0635 0.1454  3 Tm 3.29-3.45, 5 Ho 3.45-3.63, 1 Al 3.61
Tm 0.0635 0.1454 0.3858  3 Tm 3.29-3.45, 5 Ho 3.45-3.63, 1 Al 3.61
Tm 0.5000 0.5000 0.5000  6 Ho 3.17
Tm 0.9365 0.8546 0.6142  3 Tm 3.29-3.45, 5 Ho 3.45-3.63, 1 Al 3.61
Tm 0.6142 0.9365 0.8546  3 Tm 3.29-3.45, 5 Ho 3.45-3.63, 1 Al 3.61
Tm 0.1454 0.3858 0.0635  3 Tm 3.29-3.45, 5 Ho 3.45-3.63, 1 Al 3.61
Al 0.0000 0.0000 0.0000  6 Ho 3.20

The calculation puts the formation energy at 0.19 eV per atom. For the total energy, the calculation gives -86.09 eV/f.u.

---

3.
Entry from the Alexandria database: an optimized crystal structure of HoTmAl (PBE).

a b c (Å): 3.5097 5.0272 5.0272
angles (deg): 120.00 90.00 90.00
Closest atoms and distances in Å follow each position.
Fractional positions:
Tm 0.3924 0.3333 0.6667  3 Al 3.05, 3 Ho 3.29
Ho 0.9513 0.0000 0.0000  3 Al 3.08, 3 Tm 3.29
Al 0.6563 0.6667 0.3333  3 Tm 3.05, 3 Ho 3.08

The calculation puts the formation energy at -0.15 eV per atom. For the total energy, the calculation gives -13.25 eV/f.u.

---

4.
Entry from the Alexandria database: an optimized crystal structure of Ho2Tm3Al2 (PBE).

a b c (Å): 3.4055 3.4269 15.9839
angles (deg): 89.99 83.90 90.00
Closest atoms and distances in Å follow each position.
Fractional positions:
Ho 0.7021 0.5002 0.5953  6 Ho 3.41-3.48, 4 Tm 3.51
Ho 0.2979 0.4998 0.4047  6 Ho 3.41-3.48, 4 Tm 3.51
Tm 0.8776 0.9999 0.2449  4 Al 3.10, 4 Tm 3.41-3.43
Tm 0.0000 0.0000 0.0000  8 Al 3.10, 4 Tm 3.41-3.43
Tm 0.1224 0.0001 0.7551  4 Al 3.10, 4 Tm 3.41-3.43
Al 0.5613 0.5000 0.8774  8 Tm 3.10, 4 Al 3.41-3.43
Al 0.4387 0.5000 0.1226  8 Tm 3.10, 4 Al 3.41-3.43

The calculation puts the formation energy at -0.16 eV per atom. For the total energy, the calculation gives -31.17 eV/f.u.

---

5.
Entry from the Alexandria database: an optimized crystal structure of Ho15Tm4Al (PBE).

a b c (Å): 4.9077 4.9077 24.8184
angles (deg): 90.00 90.00 90.00
Closest atoms and distances in Å follow each position.
Fractional positions:
Ho 0.5000 0.5000 0.0000  8 Ho 3.39, 4 Al 3.47
Ho 0.5000 0.5000 0.1945  4 Tm 3.47, 8 Ho 3.49-3.54
Ho 0.5000 0.5000 0.3982  4 Tm 3.47, 8 Ho 3.51-3.52
Ho 0.5000 0.5000 0.6018  4 Tm 3.47, 8 Ho 3.51-3.52
Ho 0.5000 0.5000 0.8055  4 Tm 3.47, 8 Ho 3.49-3.54
Ho 0.5000 0.0000 0.0944  8 Ho 3.39-3.49, 2 Al 3.39, 2 Tm 3.53
Ho 0.5000 0.0000 0.2972  8 Ho 3.47-3.54, 4 Tm 3.50-3.52
Ho 0.5000 0.0000 0.5000  8 Ho 3.47-3.52, 4 Tm 3.51
Ho 0.5000 0.0000 0.7028  8 Ho 3.47-3.54, 4 Tm 3.50-3.52
Ho 0.5000 0.0000 0.9056  2 Al 3.39, 8 Ho 3.39-3.49, 2 Tm 3.53
Ho 0.0000 0.5000 0.0944  8 Ho 3.39-3.49, 2 Al 3.39, 2 Tm 3.53
Ho 0.0000 0.5000 0.2972  8 Ho 3.47-3.54, 4 Tm 3.50-3.52
Ho 0.0000 0.5000 0.5000  8 Ho 3.47-3.52, 4 Tm 3.51
Ho 0.0000 0.5000 0.7028  8 Ho 3.47-3.54, 4 Tm 3.50-3.52
Ho 0.0000 0.5000 0.9056  2 Al 3.39, 8 Ho 3.39-3.49, 2 Tm 3.53
Tm 0.0000 0.0000 0.1965  12 Ho 3.47-3.53
Tm 0.0000 0.0000 0.3987  12 Ho 3.47-3.52
Tm 0.0000 0.0000 0.6013  12 Ho 3.47-3.52
Tm 0.0000 0.0000 0.8035  12 Ho 3.47-3.53
Al 0.0000 0.0000 0.0000  12 Ho 3.39-3.47

The calculation puts the formation energy at -0.01 eV per atom. For the total energy, the calculation gives -90.53 eV/f.u.

---

6.
Entry from the Alexandria database: an optimized crystal structure of Ho3TmAl4 (PBE).

a b c (Å): 3.5724 3.5724 14.2860
angles (deg): 90.00 90.00 90.00
Closest atoms and distances in Å follow each position.
Fractional positions:
Tm 0.5000 0.5000 0.0000  8 Al 3.07
Ho 0.5000 0.5000 0.2485  8 Al 3.10
Ho 0.5000 0.5000 0.5000  8 Al 3.10
Ho 0.5000 0.5000 0.7515  8 Al 3.10
Al 0.0000 0.0000 0.8775  4 Tm 3.07, 4 Ho 3.10
Al 0.0000 0.0000 0.1225  4 Tm 3.07, 4 Ho 3.10
Al 0.0000 0.0000 0.3742  8 Ho 3.10
Al 0.0000 0.0000 0.6258  8 Ho 3.10

The calculation puts the formation energy at -0.39 eV per atom. For the total energy, the calculation gives -36.33 eV/f.u.

---

7.
Entry from the Alexandria database: an optimized crystal structure of HoTm2Al (PBE).

a b c (Å): 3.4762 3.4762 8.8779
angles (deg): 90.00 90.00 90.00
Closest atoms and distances in Å follow each position.
Fractional positions:
Tm 0.0000 0.0000 0.7855  4 Al 3.11, 4 Tm 3.48
Tm 0.0000 0.0000 0.2145  4 Al 3.11, 4 Tm 3.48
Ho 0.5000 0.5000 0.5000  4 Ho 3.48, 8 Tm 3.53
Al 0.5000 0.5000 0.0000  8 Tm 3.11, 4 Al 3.48

The calculation puts the formation energy at -0.20 eV per atom. For the total energy, the calculation gives -18.05 eV/f.u.

---

8.
Entry from the Alexandria database: an optimized crystal structure of HoTm3Al8 (PBE).

a b c (Å): 5.5147 5.5147 9.0294
angles (deg): 90.00 90.00 120.00
Closest atoms and distances in Å follow each position.
Fractional positions:
Ho 0.0000 0.0000 0.5674  12 Al 3.22-3.26, 4 Tm 3.30-3.41
Tm 0.6667 0.3333 0.4322  12 Al 3.21-3.27, 1 Tm 3.30, 3 Ho 3.41
Tm 0.6667 0.3333 0.0670  12 Al 3.21-3.25, 4 Tm 3.30-3.41
Tm 0.0000 0.0000 0.9327  12 Al 3.21-3.25, 1 Ho 3.30, 3 Tm 3.41
Al 0.3333 0.6667 0.4997  6 Al 2.79-2.80
Al 0.3333 0.6667 0.0004  6 Al 2.78-2.79
Al 0.5046 0.0093 0.7507  6 Al 2.68-2.83
Al 0.5046 0.4954 0.7507  6 Al 2.68-2.83
Al 0.9907 0.4954 0.7507  6 Al 2.68-2.83
Al 0.1620 0.3240 0.2495  6 Al 2.68-2.83
Al 0.1620 0.8380 0.2495  6 Al 2.68-2.83
Al 0.6760 0.8380 0.2495  6 Al 2.68-2.83

The calculation puts the formation energy at -0.50 eV per atom. For the total energy, the calculation gives -53.88 eV/f.u.